A.
# Sc3ReS (GGA-PBE, relaxed)
# Volume in Å³/cell: 104
data_Sc3ReS
_space_group_name_H-M_alt 'P m -3 m'
_space_group_IT_number 221
_space_group_name_Hall '-P 4 2 3'
_cell_length_a 4.6973
_cell_length_b 4.6973
_cell_length_c 4.6973
_cell_angle_alpha 90.00
_cell_angle_beta 90.00
_cell_angle_gamma 90.00
loop_
_atom_site_label
_atom_site_fract_x
_atom_site_fract_y
_atom_site_fract_z
Sc1 0.0000 0.0000 0.5000
Re1 0.5000 0.5000 0.5000
S1 0.0000 0.0000 0.0000


B.
# Sc3ReS (GGA-PBE, relaxed)
# Volume in Å³/cell: 127
data_Sc3ReS
_space_group_name_H-M_alt 'P m -3 m'
_space_group_IT_number 221
_space_group_name_Hall '-P 4 2 3'
_cell_length_a 5.0320
_cell_length_b 5.0320
_cell_length_c 5.0320
_cell_angle_alpha 90.00
_cell_angle_beta 90.00
_cell_angle_gamma 90.00
loop_
_atom_site_label
_atom_site_fract_x
_atom_site_fract_y
_atom_site_fract_z
Sc1 0.0000 0.0000 0.5000
Re1 0.0000 0.0000 0.0000
S1 0.5000 0.5000 0.5000


Least stable of them? B.